(one)
# Cd2TcRu (PBE-GGA, optimized geometry)
data_Cd2TcRu
_space_group_name_H-M_alt 'P 1 2/m 1'
_space_group_IT_number 10
_space_group_name_Hall '-P 2y'
_cell_length_a 2.796
_cell_length_b 4.741
_cell_length_c 5.199
_cell_angle_alpha 90.00
_cell_angle_beta 98.81
_cell_angle_gamma 90.00
loop_
_atom_site_label
_atom_site_fract_x
_atom_site_fract_y
_atom_site_fract_z
Cd1 0.235 0.000 0.252
Tc1 0.500 0.500 0.000
Ru1 0.000 0.500 0.500
# * total magnetic moment: 0.622 μB/f.u.
# * mass density: 10.34 g cm⁻³

(two)
# Cd2TcRu (PBE-GGA, optimized geometry)
data_Cd2TcRu
_space_group_name_H-M_alt 'R -3 m'
_space_group_IT_number 166
_space_group_name_Hall '-R 3 2"'
_cell_length_a 2.8599
_cell_length_b 2.8599
_cell_length_c 28.5895
_cell_angle_alpha 90.00
_cell_angle_beta 90.00
_cell_angle_gamma 120.00
loop_
_atom_site_label
_atom_site_fract_x
_atom_site_fract_y
_atom_site_fract_z
Cd1 0.0000 0.0000 0.2489
Tc1 0.0000 0.0000 0.0000
Ru1 0.0000 0.0000 0.5000
# * total magnetic moment: 0.000 μB/f.u.
# * mass density: 10.43 g cm⁻³

Stability check: which of them is least stable? (one).

(one)
# Cd2TcRu (PBE-GGA, optimized geometry)
data_Cd2TcRu
_space_group_name_H-M_alt 'C m m m'
_space_group_IT_number 65
_space_group_name_Hall '-C 2 2'
_cell_length_a 3.167
_cell_length_b 4.564
_cell_length_c 9.446
_cell_angle_alpha 90.00
_cell_angle_beta 90.00
_cell_angle_gamma 90.00
loop_
_atom_site_label
_atom_site_fract_x
_atom_site_fract_y
_atom_site_fract_z
Cd1 0.000 0.000 0.247
Tc1 0.000 0.500 0.500
Ru1 0.000 0.500 0.000
# * total magnetic moment: 1.047 μB/f.u.
# * mass density: 10.31 g cm⁻³

(two)
# Cd2TcRu (PBE-GGA, optimized geometry)
data_Cd2TcRu
_space_group_name_H-M_alt 'F -4 3 m'
_space_group_IT_number 216
_space_group_name_Hall 'F -4 2 3'
_cell_length_a 6.467
_cell_length_b 6.467
_cell_length_c 6.467
_cell_angle_alpha 90.00
_cell_angle_beta 90.00
_cell_angle_gamma 90.00
loop_
_atom_site_label
_atom_site_fract_x
_atom_site_fract_y
_atom_site_fract_z
Cd1 0.000 0.000 0.000
Cd2 0.250 0.250 0.250
Tc1 0.250 0.250 0.750
Ru1 0.000 0.000 0.500
# * total magnetic moment: 0.001 μB/f.u.
# * mass density: 10.41 g cm⁻³

(three)
# Cd2TcRu (PBE-GGA, optimized geometry)
data_Cd2TcRu
_space_group_name_H-M_alt 'I 4/m m m'
_space_group_IT_number 139
_space_group_name_Hall '-I 4 2'
_cell_length_a 4.021
_cell_length_b 4.021
_cell_length_c 8.592
_cell_angle_alpha 90.00
_cell_angle_beta 90.00
_cell_angle_gamma 90.00
loop_
_atom_site_label
_atom_site_fract_x
_atom_site_fract_y
_atom_site_fract_z
Cd1 0.000 0.500 0.250
Tc1 0.000 0.000 0.000
Ru1 0.000 0.000 0.500
# * total magnetic moment: 3.214 μB/f.u.
# * mass density: 10.13 g cm⁻³

(four)
# Cd2TcRu (PBE-GGA, optimized geometry)
data_Cd2TcRu
_space_group_name_H-M_alt 'P 4/m m m'
_space_group_IT_number 123
_space_group_name_Hall '-P 4 2'
_cell_length_a 3.409
_cell_length_b 3.409
_cell_length_c 5.974
_cell_angle_alpha 90.00
_cell_angle_beta 90.00
_cell_angle_gamma 90.00
loop_
_atom_site_label
_atom_site_fract_x
_atom_site_fract_y
_atom_site_fract_z
Cd1 0.000 0.000 0.245
Tc1 0.500 0.500 0.500
Ru1 0.500 0.500 0.000
# * total magnetic moment: 2.758 μB/f.u.
# * mass density: 10.14 g cm⁻³

Stability check: which of them is least stable? (four).

(one)
# Cd2TcRu (PBE-GGA, optimized geometry)
data_Cd2TcRu
_space_group_name_H-M_alt 'P 4/m m m'
_space_group_IT_number 123
_space_group_name_Hall '-P 4 2'
_cell_length_a 4.004
_cell_length_b 4.004
_cell_length_c 4.320
_cell_angle_alpha 90.00
_cell_angle_beta 90.00
_cell_angle_gamma 90.00
loop_
_atom_site_label
_atom_site_fract_x
_atom_site_fract_y
_atom_site_fract_z
Cd1 0.000 0.500 0.000
Tc1 0.000 0.000 0.500
Ru1 0.500 0.500 0.500
# * total magnetic moment: 3.035 μB/f.u.
# * mass density: 10.16 g cm⁻³

(two)
# Cd2TcRu (PBE-GGA, optimized geometry)
data_Cd2TcRu
_space_group_name_H-M_alt 'R 3 m'
_space_group_IT_number 160
_space_group_name_Hall 'R 3 -2"'
_cell_length_a 2.8620
_cell_length_b 2.8620
_cell_length_c 29.7248
_cell_angle_alpha 90.00
_cell_angle_beta 90.00
_cell_angle_gamma 120.00
loop_
_atom_site_label
_atom_site_fract_x
_atom_site_fract_y
_atom_site_fract_z
Cd1 0.0000 0.0000 0.0000
Cd2 0.0000 0.0000 0.2336
Tc1 0.0000 0.0000 0.4825
Ru1 0.0000 0.0000 0.7500
# * total magnetic moment: 0.003 μB/f.u.
# * mass density: 10.01 g cm⁻³

Stability check: which of them is least stable? (one).

(one)
# CdTe2Ru (PBE-GGA, optimized geometry)
data_CdTe2Ru
_space_group_name_H-M_alt 'P 4 m m'
_space_group_IT_number 99
_space_group_name_Hall 'P 4 -2'
_cell_length_a 3.173
_cell_length_b 3.173
_cell_length_c 9.609
_cell_angle_alpha 90.00
_cell_angle_beta 90.00
_cell_angle_gamma 90.00
loop_
_atom_site_label
_atom_site_fract_x
_atom_site_fract_y
_atom_site_fract_z
Cd1 0.000 0.000 0.000
Te1 0.000 0.000 0.355
Te2 0.500 0.500 0.717
Ru1 0.500 0.500 0.201
# * total magnetic moment: 0.000 μB/f.u.
# * mass density: 8.04 g cm⁻³

(two)
# CdTe2Ru (PBE-GGA, optimized geometry)
data_CdTe2Ru
_space_group_name_H-M_alt 'P 1 m 1'
_space_group_IT_number 6
_space_group_name_Hall 'P -2y'
_cell_length_a 4.707
_cell_length_b 4.027
_cell_length_c 6.151
_cell_angle_alpha 90.00
_cell_angle_beta 111.74
_cell_angle_gamma 90.00
loop_
_atom_site_label
_atom_site_fract_x
_atom_site_fract_y
_atom_site_fract_z
Cd1 0.000 0.000 0.000
Te1 0.333 0.000 0.664
Te2 0.613 0.500 0.212
Ru1 0.196 0.500 0.384
# * total magnetic moment: 0.000 μB/f.u.
# * mass density: 7.19 g cm⁻³

Stability check: which of them is least stable? (two).

(one)
# CdTe2Ru (PBE-GGA, optimized geometry)
data_CdTe2Ru
_space_group_name_H-M_alt 'C m m m'
_space_group_IT_number 65
_space_group_name_Hall '-C 2 2'
_cell_length_a 6.256
_cell_length_b 7.827
_cell_length_c 3.575
_cell_angle_alpha 90.00
_cell_angle_beta 90.00
_cell_angle_gamma 90.00
loop_
_atom_site_label
_atom_site_fract_x
_atom_site_fract_y
_atom_site_fract_z
Cd1 0.000 0.000 0.000
Te1 0.250 0.250 0.500
Ru1 0.000 0.500 0.000
# * total magnetic moment: 0.000 μB/f.u.
# * mass density: 8.89 g cm⁻³

(two)
# CdTe2Ru (PBE-GGA, optimized geometry)
data_CdTe2Ru
_space_group_name_H-M_alt 'P 4/m m m'
_space_group_IT_number 123
_space_group_name_Hall '-P 4 2'
_cell_length_a 3.231
_cell_length_b 3.231
_cell_length_c 9.502
_cell_angle_alpha 90.00
_cell_angle_beta 90.00
_cell_angle_gamma 90.00
loop_
_atom_site_label
_atom_site_fract_x
_atom_site_fract_y
_atom_site_fract_z
Cd1 0.000 0.000 0.000
Te1 0.500 0.500 0.324
Ru1 0.000 0.000 0.500
# * total magnetic moment: 0.232 μB/f.u.
# * mass density: 7.85 g cm⁻³

Stability check: which of them is least stable? (one).

(one)
# Th2CdRu (PBE-GGA, optimized geometry)
data_Th2CdRu
_space_group_name_H-M_alt 'R -3 m'
_space_group_IT_number 166
_space_group_name_Hall '-R 3 2"'
_cell_length_a 4.0952
_cell_length_b 4.0952
_cell_length_c 29.3497
_cell_angle_alpha 90.00
_cell_angle_beta 90.00
_cell_angle_gamma 120.00
loop_
_atom_site_label
_atom_site_fract_x
_atom_site_fract_y
_atom_site_fract_z
Th1 0.0000 0.0000 0.1159
Cd1 0.0000 0.0000 0.0000
Ru1 0.0000 0.0000 0.5000
# * total magnetic moment: 0.000 μB/f.u.
# * mass density: 7.92 g cm⁻³

(two)
# Th2CdRu (PBE-GGA, optimized geometry)
data_Th2CdRu
_space_group_name_H-M_alt 'I m a 2'
_space_group_IT_number 46
_space_group_name_Hall 'I 2 -2a'
_cell_length_a 5.741
_cell_length_b 9.152
_cell_length_c 8.128
_cell_angle_alpha 90.00
_cell_angle_beta 90.00
_cell_angle_gamma 90.00
loop_
_atom_site_label
_atom_site_fract_x
_atom_site_fract_y
_atom_site_fract_z
Th1 0.250 0.123 0.000
Th2 0.250 0.688 0.188
Cd1 0.000 0.000 0.360
Ru1 0.250 0.123 0.643
# * total magnetic moment: 0.000 μB/f.u.
# * mass density: 10.54 g cm⁻³

(three)
# Th2CdRu (PBE-GGA, optimized geometry)
data_Th2CdRu
_space_group_name_H-M_alt 'P 4/m m m'
_space_group_IT_number 123
_space_group_name_Hall '-P 4 2'
_cell_length_a 3.521
_cell_length_b 3.521
_cell_length_c 8.279
_cell_angle_alpha 90.00
_cell_angle_beta 90.00
_cell_angle_gamma 90.00
loop_
_atom_site_label
_atom_site_fract_x
_atom_site_fract_y
_atom_site_fract_z
Th1 0.000 0.000 0.209
Cd1 0.500 0.500 0.500
Ru1 0.500 0.500 0.000
# * total magnetic moment: 0.000 μB/f.u.
# * mass density: 10.96 g cm⁻³

(four)
# Th2CdRu (PBE-GGA, optimized geometry)
data_Th2CdRu
_space_group_name_H-M_alt 'R 3 m'
_space_group_IT_number 160
_space_group_name_Hall 'R 3 -2"'
_cell_length_a 4.1104
_cell_length_b 4.1104
_cell_length_c 23.9766
_cell_angle_alpha 90.00
_cell_angle_beta 90.00
_cell_angle_gamma 120.00
loop_
_atom_site_label
_atom_site_fract_x
_atom_site_fract_y
_atom_site_fract_z
Th1 0.0000 0.0000 0.0000
Th2 0.0000 0.0000 0.2060
Cd1 0.0000 0.0000 0.4353
Ru1 0.0000 0.0000 0.6029
# * total magnetic moment: 0.000 μB/f.u.
# * mass density: 9.62 g cm⁻³

Stability check: which of them is least stable? (one).

(one)
# TiCd3Ru (PBE-GGA, optimized geometry)
data_TiCd3Ru
_space_group_name_H-M_alt 'P m -3 m'
_space_group_IT_number 221
_space_group_name_Hall '-P 4 2 3'
_cell_length_a 5.184
_cell_length_b 5.184
_cell_length_c 5.184
_cell_angle_alpha 90.00
_cell_angle_beta 90.00
_cell_angle_gamma 90.00
loop_
_atom_site_label
_atom_site_fract_x
_atom_site_fract_y
_atom_site_fract_z
Ti1 0.000 0.000 0.000
Cd1 0.000 0.000 0.500
Ru1 0.500 0.500 0.500
# * total magnetic moment: 4.088 μB/f.u.
# * mass density: 5.80 g cm⁻³

(two)
# TiCd3Ru (PBE-GGA, optimized geometry)
data_TiCd3Ru
_space_group_name_H-M_alt 'P m -3 m'
_space_group_IT_number 221
_space_group_name_Hall '-P 4 2 3'
_cell_length_a 5.051
_cell_length_b 5.051
_cell_length_c 5.051
_cell_angle_alpha 90.00
_cell_angle_beta 90.00
_cell_angle_gamma 90.00
loop_
_atom_site_label
_atom_site_fract_x
_atom_site_fract_y
_atom_site_fract_z
Ti1 0.000 0.000 0.000
Cd1 0.000 0.500 0.500
Ru1 0.500 0.500 0.500
# * total magnetic moment: 0.009 μB/f.u.
# * mass density: 6.26 g cm⁻³

Stability check: which of them is least stable? (one).

(one)
# Tl2CdRu (PBE-GGA, optimized geometry)
data_Tl2CdRu
_space_group_name_H-M_alt 'C m m m'
_space_group_IT_number 65
_space_group_name_Hall '-C 2 2'
_cell_length_a 6.285
_cell_length_b 7.860
_cell_length_c 3.421
_cell_angle_alpha 90.00
_cell_angle_beta 90.00
_cell_angle_gamma 90.00
loop_
_atom_site_label
_atom_site_fract_x
_atom_site_fract_y
_atom_site_fract_z
Tl1 0.250 0.250 0.000
Cd1 0.000 0.000 0.500
Ru1 0.000 0.500 0.500
# * total magnetic moment: 0.002 μB/f.u.
# * mass density: 12.23 g cm⁻³

(two)
# Tl2CdRu (PBE-GGA, optimized geometry)
data_Tl2CdRu
_space_group_name_H-M_alt 'P 1 m 1'
_space_group_IT_number 6
_space_group_name_Hall 'P -2y'
_cell_length_a 3.608
_cell_length_b 4.405
_cell_length_c 5.824
_cell_angle_alpha 90.00
_cell_angle_beta 107.93
_cell_angle_gamma 90.00
loop_
_atom_site_label
_atom_site_fract_x
_atom_site_fract_y
_atom_site_fract_z
Tl1 0.000 0.000 0.000
Tl2 0.308 0.500 0.616
Cd1 0.588 0.500 0.175
Ru1 0.744 0.000 0.485
# * total magnetic moment: 0.000 μB/f.u.
# * mass density: 11.73 g cm⁻³

(three)
# Tl2CdRu (PBE-GGA, optimized geometry)
data_Tl2CdRu
_space_group_name_H-M_alt 'P m m 2'
_space_group_IT_number 25
_space_group_name_Hall 'P 2 -2'
_cell_length_a 3.628
_cell_length_b 3.877
_cell_length_c 6.083
_cell_angle_alpha 90.00
_cell_angle_beta 90.00
_cell_angle_gamma 90.00
loop_
_atom_site_label
_atom_site_fract_x
_atom_site_fract_y
_atom_site_fract_z
Tl1 0.000 0.000 0.000
Tl2 0.500 0.500 0.290
Cd1 0.000 0.000 0.543
Ru1 0.500 0.500 0.774
# * total magnetic moment: 0.464 μB/f.u.
# * mass density: 12.08 g cm⁻³

Stability check: which of them is least stable? (one).